Material: CsKPdF6
Method: DFT, PBE-GGA
State: relaxed

abc: 6.0733 6.0718 5.3095
angles: 90.05 90.01 59.97
Closest atoms and distances in Å follow each position.
Sites, in units of the cell vectors:
F: 0.4885 0.4890 0.2574  1 Pd 1.96
F: 0.1792 0.6412 0.6669  1 Pd 1.95
Pd: 0.3333 0.3332 0.4605  6 F 1.95-1.96
F: 0.0227 0.4892 0.2568  1 Pd 1.96
Cs: 0.9999 0.0003 0.1254  12 F 3.08-3.44
K: 0.6665 0.6674 0.6466  9 F 2.79-3.05
F: 0.4885 0.0231 0.2555  1 Pd 1.96
F: 0.1793 0.1784 0.6650  1 Pd 1.95
F: 0.6418 0.1782 0.6657  1 Pd 1.95

## Properties
The total energy comes out at -37.31 eV/f.u. The crystal system is monoclinic.

Material: SmGa2CuPd2
Method: DFT, PBE-GGA
State: relaxed

abc: 4.5306 4.5306 5.5805
angles: 90.00 90.00 90.00
Closest atoms and distances in Å follow each position.
Sites, in units of the cell vectors:
Ga: 0.0000 0.5000 0.0000  2 Cu 2.27
Cu: 0.0000 0.0000 0.0000  4 Ga 2.27
Sm: 0.0000 0.0000 0.5000  2 Cu 2.79
Pd: 0.5000 0.5000 0.2578  4 Ga 2.68, 2 Pd 2.70-2.88
Ga: 0.5000 0.0000 0.0000  2 Cu 2.27
Pd: 0.5000 0.5000 0.7422  4 Ga 2.68, 2 Pd 2.70-2.88

## Properties
The crystal system is tetragonal. The energy relative to the elements comes out at -0.340 eV/atom.

Material: Gd2CdPd2
Method: DFT, PBE-GGA
State: relaxed

abc: 7.7811 7.7811 3.7737
angles: 90.00 90.00 90.00
Closest atoms and distances in Å follow each position.
Sites, in units of the cell vectors:
Gd: 0.3282 0.8282 0.5000  6 Pd 2.89-3.02
Pd: 0.3712 0.1288 0.0000  1 Pd 2.83, 6 Gd 2.89-3.02, 2 Cd 3.06
Cd: 0.5000 0.5000 0.0000  4 Pd 3.06
Pd: 0.8712 0.3712 0.0000  1 Pd 2.83, 6 Gd 2.89-3.02, 2 Cd 3.06
Gd: 0.1718 0.3282 0.5000  6 Pd 2.89-3.02
Gd: 0.6718 0.1718 0.5000  6 Pd 2.89-3.02
Cd: 0.0000 0.0000 0.0000  4 Pd 3.06
Pd: 0.1288 0.6288 0.0000  1 Pd 2.83, 6 Gd 2.89-3.02, 2 Cd 3.06
Pd: 0.6288 0.8712 0.0000  1 Pd 2.83, 6 Gd 2.89-3.02, 2 Cd 3.06
Gd: 0.8282 0.6718 0.5000  6 Pd 2.89-3.02

## Properties
The crystal system is tetragonal. The energy relative to the elements comes out at -0.775 eV/atom.